The following is a DFT calculation (PBE) of a relaxed Y2MnFe2Co5 crystal.

ΔE_f ... 0.43 eV/f.u.

Unit cell a=3.3082 b=9.4405 c=9.4405 alpha=90.00 beta=90.00 gamma=90.00
Closest atoms and distances in Å follow each position.
Element x y z (fractional)
Fe (0.0000, 0.1218, 0.6218)  6 Co 2.32-2.40
Fe (0.0000, 0.6218, 0.8782)  6 Co 2.32-2.40
Fe (0.0000, 0.3782, 0.1218)  6 Co 2.32-2.40
Fe (0.0000, 0.8782, 0.3782)  6 Co 2.32-2.40
Co (0.5000, 0.7959, 0.9402)  2 Fe 2.40, 2 Mn 2.60
Co (0.5000, 0.5000, 0.0000)  4 Fe 2.32
Co (0.5000, 0.0598, 0.7959)  2 Fe 2.40, 2 Mn 2.60
Co (0.5000, 0.2041, 0.0598)  2 Fe 2.40, 2 Mn 2.60
Co (0.5000, 0.4402, 0.2959)  2 Fe 2.40, 2 Mn 2.60
Co (0.5000, 0.2959, 0.5598)  2 Fe 2.40, 2 Mn 2.60
Co (0.5000, 0.9402, 0.2041)  2 Fe 2.40, 2 Mn 2.60
Co (0.5000, 0.5598, 0.7041)  2 Fe 2.40, 2 Mn 2.60
Co (0.5000, 0.7041, 0.4402)  2 Fe 2.40, 2 Mn 2.60
Co (0.5000, 0.0000, 0.5000)  4 Fe 2.32
Y (0.0000, 0.1780, 0.3220)  3 Fe 2.67-2.88, 6 Co 2.90-2.99
Y (0.0000, 0.6780, 0.1780)  3 Fe 2.67-2.88, 6 Co 2.90-2.99
Y (0.0000, 0.3220, 0.8220)  3 Fe 2.67-2.88, 6 Co 2.90-2.99
Y (0.0000, 0.8220, 0.6780)  3 Fe 2.67-2.88, 6 Co 2.90-2.99
Mn (0.0000, 0.0000, 0.0000)  8 Co 2.60
Mn (0.0000, 0.5000, 0.5000)  8 Co 2.60